No. 1
This record from the Alexandria database describes crystalline Tb2HoCd at its relaxed geometry. The functional is PBE.

Unit cell a=3.4661 b=3.4661 c=12.2739 alpha=81.88 beta=81.88 gamma=60.00
Fractional coordinates of all 4 atoms:
Tb  0.0889  0.0889  0.7333
Tb  0.9111  0.9111  0.2667
Ho  0.5000  0.5000  0.5000
Cd  0.0000  0.0000  0.0000

Properties
For the total energy, the calculation gives -14.1 eV per cell. The energy above the most stable polymorph in this dataset is 299 meV per atom.

No. 2
This record from the Alexandria database describes crystalline BeAgC2 at its relaxed geometry. The functional is PBE.

Unit cell a=3.6595 b=3.6595 c=6.5899 alpha=73.88 beta=73.88 gamma=90.00
Fractional coordinates of all 8 atoms:
Be  0.5000  0.5000  0.0000
Be  0.2500  0.7500  0.5000
C  0.4151  0.1250  0.2500
C  0.3349  0.6250  0.2500
C  0.3750  0.5849  0.7500
C  0.8750  0.6651  0.7500
Ag  0.0000  0.0000  0.0000
Ag  0.7500  0.2500  0.5000

Properties
For the total energy, the calculation gives -38.4 eV per cell.

No. 3
This record from the Alexandria database describes crystalline Sc5Tl4 at its relaxed geometry. The functional is PBE.

Unit cell a=7.2358 b=7.2358 c=7.2358 alpha=96.02 beta=96.02 gamma=142.22
Last column: magnetic moment on the atom in μB.
Fractional coordinates of all 9 atoms:
Sc  0.0000  0.0000  0.0000  0.19
Sc  0.3313  0.6687  0.0000  0.33
Sc  0.6687  0.3313  0.0000  0.33
Sc  0.6687  0.6687  0.3375  0.33
Sc  0.3313  0.3313  0.6625  0.33
Tl  0.3121  0.0000  0.3121  0.01
Tl  0.6879  0.0000  0.6879  0.01
Tl  0.0000  0.6879  0.6879  0.01
Tl  0.0000  0.3121  0.3121  0.01

Properties
For the total energy, the calculation gives -42.0 eV per cell. The energy above the most stable polymorph in this dataset is 190 meV per atom.

No. 4
This record from the Alexandria database describes crystalline CaBeRh2 at its relaxed geometry. The functional is PBE.

Unit cell a=4.4719 b=4.4719 c=4.4719 alpha=60.00 beta=60.00 gamma=60.00
Last column: magnetic moment on the atom in μB.
Fractional coordinates of all 4 atoms:
Be  0.5000  0.5000  0.5000  0.00
Ca  0.7500  0.7500  0.7500  -0.01
Rh  0.0000  0.0000  0.0000  0.39
Rh  0.2500  0.2500  0.2500  0.27

Properties
For the total energy, the calculation gives -20.1 eV per cell.

No. 5
This record from the Alexandria database describes crystalline AlNi3 at its relaxed geometry. The functional is PBE.

Unit cell a=2.6195 b=2.6195 c=7.8493 alpha=90.00 beta=90.00 gamma=120.00
Last column: magnetic moment on the atom in μB.
Fractional coordinates of all 4 atoms:
Ni  0.0000  0.0000  0.5000  0.54
Ni  0.3333  0.6667  0.2451  0.19
Ni  0.3333  0.6667  0.7549  0.19
Al  0.0000  0.0000  0.0000  0.00

Properties
For the total energy, the calculation gives -21.7 eV per cell.

No. 6
This record from the Alexandria database describes crystalline AcSm2Ga at its relaxed geometry. The functional is PBE.

Unit cell a=5.5562 b=5.5562 c=5.5562 alpha=60.00 beta=60.00 gamma=60.00
Fractional coordinates of all 4 atoms:
Ac  0.0000  0.0000  0.0000
Ga  0.5000  0.5000  0.5000
Sm  0.2500  0.2500  0.2500
Sm  0.7500  0.7500  0.7500

Properties
For the total energy, the calculation gives -16.5 eV per cell. The energy above the most stable polymorph in this dataset is 261 meV per atom.

No. 7
This record from the Alexandria database describes crystalline Ba2ScBr at its relaxed geometry. The functional is PBE.

Unit cell a=3.9385 b=3.9385 c=11.4500 alpha=90.00 beta=90.00 gamma=115.97
Last column: magnetic moment on the atom in μB.
Fractional coordinates of all 4 atoms:
Ba  0.0000  0.0000  0.9627  0.03
Ba  0.5000  0.5000  0.2971  -0.02
Br  0.0000  0.0000  0.5325  0.00
Sc  0.5000  0.5000  0.7077  0.26

Properties
For the total energy, the calculation gives -13.1 eV per cell. The energy above the most stable polymorph in this dataset is 189 meV per atom.

No. 8
This record from the Alexandria database describes crystalline Y2ThOs at its relaxed geometry. The functional is PBE.

Unit cell a=6.4243 b=7.3497 c=9.5115 alpha=90.00 beta=90.00 gamma=90.00
Fractional coordinates of all 16 atoms:
Y  0.1687  0.6718  0.0665
Y  0.3313  0.1718  0.4335
Y  0.8313  0.3282  0.5665
Y  0.6687  0.8282  0.9335
Y  0.8313  0.3282  0.9335
Y  0.6687  0.8282  0.5665
Y  0.1687  0.6718  0.4335
Y  0.3313  0.1718  0.0665
Th  0.6519  0.5465  0.2500
Th  0.8481  0.0465  0.2500
Th  0.3481  0.4535  0.7500
Th  0.1519  0.9535  0.7500
Os  0.0335  0.3704  0.2500
Os  0.4665  0.8704  0.2500
Os  0.9665  0.6296  0.7500
Os  0.5335  0.1296  0.7500

Properties
For the total energy, the calculation gives -130.5 eV per cell. The energy above the most stable polymorph in this dataset is 0 meV per atom.

No. 9
This record from the Alexandria database describes crystalline Pr6Ho2Tm at its relaxed geometry. The functional is PBE.

Unit cell a=6.2908 b=10.1880 c=10.1880 alpha=71.69 beta=84.91 gamma=84.91
Fractional coordinates of all 18 atoms:
Pr  0.4864  0.6887  0.4080
Pr  0.0136  0.5920  0.3113
Pr  0.5136  0.3113  0.5920
Pr  0.9864  0.4080  0.6887
Pr  0.6527  0.0741  0.3545
Pr  0.8473  0.6455  0.9259
Pr  0.3473  0.9259  0.6455
Pr  0.1527  0.3545  0.0741
Pr  0.3200  0.7427  0.0226
Pr  0.1800  0.9774  0.2573
Pr  0.6800  0.2573  0.9774
Pr  0.8200  0.0226  0.7427
Ho  0.4174  0.5661  0.7681
Ho  0.0826  0.2319  0.4339
Ho  0.5826  0.4339  0.2319
Ho  0.9174  0.7681  0.5661
Tm  0.2500  0.1015  0.8985
Tm  0.7500  0.8985  0.1015

Properties
For the total energy, the calculation gives -83.1 eV per cell. The energy above the most stable polymorph in this dataset is 0 meV per atom.

No. 10
This record from the Alexandria database describes crystalline CaLaSc at its relaxed geometry. The functional is PBE.

Unit cell a=9.3476 b=9.0982 c=3.5051 alpha=83.08 beta=75.07 gamma=21.85
Fractional coordinates of all 3 atoms:
Sc  0.6699  0.6699  0.3301
Ca  0.0093  0.0093  0.9907
La  0.3208  0.3208  0.6792

Properties
For the total energy, the calculation gives -12.7 eV per cell. The energy above the most stable polymorph in this dataset is 67 meV per atom.

No. 11
This record from the Alexandria database describes crystalline MgZnAu2O at its relaxed geometry. The functional is PBE.

Unit cell a=4.8336 b=3.7171 c=4.8336 alpha=90.00 beta=90.00 gamma=90.00
Fractional coordinates of all 5 atoms:
Zn  0.5000  0.5000  0.5000
Au  0.0000  0.0000  0.5000
Au  0.5000  0.0000  0.0000
Mg  0.0000  0.5000  0.0000
O  0.0000  0.0000  0.0000

Properties
For the total energy, the calculation gives -16.0 eV per cell.

No. 12
This record from the Alexandria database describes crystalline ZnSi2Ni at its relaxed geometry. The functional is PBE.

Unit cell a=4.6080 b=4.6080 c=4.6080 alpha=132.38 beta=132.40 gamma=69.61
Fractional coordinates of all 4 atoms:
Ni  0.2501  0.7501  0.5000
Si  0.0001  0.0001  0.0000
Si  0.7500  0.2500  0.5000
Zn  0.4999  0.4999  0.0000

Properties
For the total energy, the calculation gives -17.5 eV per cell.

> The highest total energy belongs to which entry?

CaLaSc